The following is a DFT calculation (PBE) of crystalline Sc3GaN at its relaxed geometry.

Lattice parameters (Å, degrees): 6.2531 6.2531 8.8865 90.08 90.08 30.43
Closest atoms and distances in Å follow each position.
Fractional positions:
Sc 0.0689 0.0689 0.3681  2 N 2.19
Sc 0.3153 0.3153 0.3717  3 N 2.24-2.34
Sc 0.3300 0.3300 0.8866  1 N 2.25
Sc 0.6700 0.6700 0.1134  1 N 2.25
Sc 0.6847 0.6847 0.6283  3 N 2.24-2.34
Sc 0.9311 0.9311 0.6319  2 N 2.19
Ga 0.0728 0.0728 0.8749  5 Sc 2.75-3.05, 1 Ga 2.84
Ga 0.9272 0.9272 0.1251  5 Sc 2.75-3.05, 1 Ga 2.84
N 0.3112 0.3112 0.6344  6 Sc 2.19-2.34
N 0.6888 0.6888 0.3656  6 Sc 2.19-2.34

Values from the calculation:
* symmetry: C2/m, No. 12
* formation energy (no corrections): -0.903 eV per atom

=====

The following is a DFT calculation (PBE) of crystalline La2OsBr at its relaxed geometry.

Lattice parameters (Å, degrees): 6.3733 6.3733 6.3733 141.54 141.54 55.52
Closest atoms and distances in Å follow each position.
Fractional positions:
La 0.0000 0.0000 0.0000  4 Br 2.97
La 0.7500 0.2500 0.5000  4 Os 2.97
Os 0.2500 0.7500 0.5000  4 La 2.97
Br 0.5000 0.5000 0.0000  4 La 2.97

Values from the calculation:
* symmetry: I-4m2, No. 119
* formation energy (no corrections): -0.242 eV per atom
* distance to the lowest polymorph of the same formula: 0.563 eV/atom

=====

The following is a DFT calculation (PBE) of crystalline Tb12Er6Cd at its relaxed geometry.

Lattice parameters (Å, degrees): 8.5437 8.5437 8.5437 97.18 97.18 97.18
Closest atoms and distances in Å follow each position.
Fractional positions:
Tb 0.0007 0.2602 0.7398  4 Er 3.30-3.46, 1 Cd 3.33, 6 Tb 3.33-3.62
Tb 0.1696 0.5819 0.5816  5 Tb 3.13-3.45
Tb 0.2602 0.7398 0.0007  4 Er 3.30-3.46, 1 Cd 3.33, 6 Tb 3.33-3.62
Tb 0.2602 0.9993 0.7398  4 Er 3.30-3.46, 1 Cd 3.33, 6 Tb 3.33-3.62
Tb 0.4181 0.4184 0.8304  5 Tb 3.13-3.45
Tb 0.4184 0.8304 0.4181  5 Tb 3.13-3.45
Tb 0.5816 0.1696 0.5819  5 Tb 3.13-3.45
Tb 0.5819 0.5816 0.1696  5 Tb 3.13-3.45
Tb 0.7398 0.0007 0.2602  4 Er 3.30-3.46, 1 Cd 3.33, 6 Tb 3.33-3.62
Tb 0.7398 0.2602 0.9993  4 Er 3.30-3.46, 6 Tb 3.33-3.62, 1 Cd 3.33
Tb 0.8304 0.4181 0.4184  5 Tb 3.13-3.45
Tb 0.9993 0.7398 0.2602  4 Er 3.30-3.46, 1 Cd 3.33, 6 Tb 3.33-3.62
Er 0.1354 0.4076 0.1366  4 Tb 3.30-3.46, 2 Er 3.48, 1 Cd 3.53
Er 0.1366 0.1354 0.4076  4 Tb 3.30-3.46, 2 Er 3.48, 1 Cd 3.53
Er 0.4076 0.1366 0.1354  4 Tb 3.30-3.46, 2 Er 3.48, 1 Cd 3.53
Er 0.5924 0.8634 0.8646  4 Tb 3.30-3.46, 2 Er 3.48, 1 Cd 3.53
Er 0.8634 0.8646 0.5924  4 Tb 3.30-3.46, 2 Er 3.48, 1 Cd 3.53
Er 0.8646 0.5924 0.8634  4 Tb 3.30-3.46, 2 Er 3.48, 1 Cd 3.53
Cd 0.0000 0.0000 0.0000  6 Tb 3.33, 6 Er 3.53

Values from the calculation:
* symmetry: R-3, No. 148
* energy of formation from the pure elements: 122 meV/atom
* distance to the lowest polymorph of the same formula: 0.016 eV/atom

=====

The following is a DFT calculation (PBE) of crystalline K2InBr at its relaxed geometry.

Lattice parameters (Å, degrees): 7.7076 7.7076 7.7076 105.37 105.37 118.02
Closest atoms and distances in Å follow each position.
Fractional positions:
K 0.0788 0.6250 0.9538  2 Br 3.17
K 0.3750 0.3288 0.4538  2 Br 3.17
K 0.6712 0.1250 0.0462  2 Br 3.17
K 0.8750 0.9212 0.5462  2 Br 3.17
In 0.2500 0.7500 0.5000  4 K 3.76, 2 Br 3.97
In 0.5000 0.5000 0.0000  4 K 3.76, 2 Br 3.97
Br 0.0000 0.0000 0.0000  4 K 3.17
Br 0.7500 0.2500 0.5000  4 K 3.17

Values from the calculation:
* symmetry: I-42d, No. 122
* formation energy (no corrections): -0.579 eV per atom
* distance to the lowest polymorph of the same formula: 0.189 eV/atom

=====

The following is a DFT calculation (PBE) of crystalline AsH at its relaxed geometry.

Lattice parameters (Å, degrees): 5.2708 5.2708 5.2708 109.47 109.47 109.47
Closest atoms and distances in Å follow each position.
Fractional positions:
As 0.0000 0.0000 0.5054  1 H 1.58
As 0.0000 0.5054 0.0000  1 H 1.58
As 0.4946 0.4946 0.4946  1 H 1.58
As 0.5054 0.0000 0.0000  1 H 1.58
H 0.0000 0.0000 0.8049  1 As 1.58, 3 H 1.68
H 0.0000 0.8049 0.0000  1 As 1.58, 3 H 1.68
H 0.1951 0.1951 0.1951  1 As 1.58, 3 H 1.68
H 0.8049 0.0000 0.0000  1 As 1.58, 3 H 1.68

Values from the calculation:
* symmetry: I-43m, No. 217
* distance to the lowest polymorph of the same formula: 0.540 eV/atom

=====

The following is a DFT calculation (PBE) of crystalline KHfSN2 at its relaxed geometry.

Lattice parameters (Å, degrees): 4.0530 4.0530 5.1683 90.00 90.00 90.00
Closest atoms and distances in Å follow each position.
Fractional positions:
K 0.0000 0.0000 0.0000  4 N 2.03
Hf 0.5000 0.5000 0.5000  4 S 2.87
S 0.0000 0.0000 0.5000  2 K 2.58, 4 Hf 2.87
N 0.0000 0.5000 0.0000  2 K 2.03
N 0.5000 0.0000 0.0000  2 K 2.03

Values from the calculation:
* symmetry: P4/mmm, No. 123
* formation energy (no corrections): 2.030 eV per atom
* distance to the lowest polymorph of the same formula: 2.258 eV/atom

=====

Repeat the first record exactly.
The following is a DFT calculation (PBE) of crystalline Sc3GaN at its relaxed geometry.

Lattice parameters (Å, degrees): 6.2531 6.2531 8.8865 90.08 90.08 30.43
Closest atoms and distances in Å follow each position.
Fractional positions:
Sc 0.0689 0.0689 0.3681  2 N 2.19
Sc 0.3153 0.3153 0.3717  3 N 2.24-2.34
Sc 0.3300 0.3300 0.8866  1 N 2.25
Sc 0.6700 0.6700 0.1134  1 N 2.25
Sc 0.6847 0.6847 0.6283  3 N 2.24-2.34
Sc 0.9311 0.9311 0.6319  2 N 2.19
Ga 0.0728 0.0728 0.8749  5 Sc 2.75-3.05, 1 Ga 2.84
Ga 0.9272 0.9272 0.1251  5 Sc 2.75-3.05, 1 Ga 2.84
N 0.3112 0.3112 0.6344  6 Sc 2.19-2.34
N 0.6888 0.6888 0.3656  6 Sc 2.19-2.34

Values from the calculation:
* symmetry: C2/m, No. 12
* formation energy (no corrections): -0.903 eV per atom